1.
The following is a DFT calculation (PBE) of a relaxed LiCuHCO4 crystal.

```
LiCuHCO4
1.0
10.6300 0.0000 0.0000
-5.3150 9.2059 0.0000
0.0000 0.0000 5.9002
Li Cu H C O
6 6 6 6 24
direct
0.1340 0.3441 0.2500
0.2101 0.8660 0.2500
0.3441 0.2101 0.7500
0.6559 0.7899 0.2500
0.7899 0.1340 0.7500
0.8660 0.6559 0.7500
0.0000 0.5000 0.0000
0.0000 0.5000 0.5000
0.5000 0.0000 0.0000
0.5000 0.0000 0.5000
0.5000 0.5000 0.0000
0.5000 0.5000 0.5000
0.2043 0.6017 0.2500
0.3974 0.7957 0.2500
0.3983 0.6026 0.2500
0.6017 0.3974 0.7500
0.6026 0.2043 0.7500
0.7957 0.3983 0.7500
0.1678 0.3899 0.7500
0.2221 0.8322 0.7500
0.3899 0.2221 0.2500
0.6101 0.7779 0.7500
0.7779 0.1678 0.2500
0.8322 0.6101 0.2500
0.0846 0.7699 0.7500
0.1219 0.6181 0.2500
0.1367 0.4296 0.5571
0.1367 0.4296 0.9429
0.2301 0.3147 0.7500
0.2929 0.8633 0.5571
0.2929 0.8633 0.9429
0.3147 0.0846 0.2500
0.3819 0.5038 0.2500
0.4296 0.2929 0.0571
0.4296 0.2929 0.4429
0.4962 0.8781 0.2500
0.5038 0.1219 0.7500
0.5704 0.7071 0.5571
0.5704 0.7071 0.9429
0.6181 0.4962 0.7500
0.6853 0.9154 0.7500
0.7071 0.1367 0.0571
0.7071 0.1367 0.4429
0.7699 0.6853 0.2500
0.8633 0.5704 0.0571
0.8633 0.5704 0.4429
0.8781 0.3819 0.7500
0.9154 0.2301 0.2500
```

Output
Its symmetry is No. 176. Its energy relative to the lowest polymorph listed for this composition is 47.3 meV/atom.


2.
The following is a DFT calculation (PBE) of a relaxed Cu4H3C2N5 crystal.

```
Cu4H3C2N5
1.0
5.6928 0.0000 0.0000
-2.8464 4.9301 0.0000
0.0000 0.0000 11.0339
Cu H C N
8 6 4 10
direct
0.1677 0.3353 0.0000
0.1677 0.8323 0.0000
0.3333 0.6667 0.5191
0.3353 0.1677 0.5000
0.6647 0.8323 0.0000
0.6667 0.3333 0.0191
0.8323 0.1677 0.5000
0.8323 0.6647 0.5000
0.2359 0.4718 0.3086
0.2359 0.7641 0.3086
0.4718 0.2359 0.8086
0.5282 0.7641 0.3086
0.7641 0.2359 0.8086
0.7641 0.5282 0.8086
0.0000 0.0000 0.2033
0.0000 0.0000 0.7033
0.3333 0.6667 0.7944
0.6667 0.3333 0.2944
0.0000 0.0000 0.0864
0.0000 0.0000 0.3118
0.0000 0.0000 0.5864
0.0000 0.0000 0.8118
0.3333 0.6667 0.3418
0.3333 0.6667 0.6867
0.3333 0.6667 0.9114
0.6667 0.3333 0.1867
0.6667 0.3333 0.4114
0.6667 0.3333 0.8418
```

Output
Its symmetry is No. 186. The density of states at the Fermi level is 0.0 states/eV/cell.


3.
The following is a DFT calculation (PBE) of a relaxed CuH14C4N4O8 crystal.

```
CuH14C4N4O8
1.0
8.5061 0.0000 0.0000
0.0000 8.3794 0.0000
-0.9514 0.0000 8.0180
Cu H C N O
2 28 8 8 16
direct
0.0000 0.0000 0.0000
0.0000 0.5000 0.5000
0.0732 0.2060 0.3159
0.0732 0.2940 0.8159
0.2089 0.0020 0.4372
0.2089 0.4980 0.9372
0.2823 0.7463 0.0334
0.2823 0.7537 0.5334
0.2880 0.1745 0.5410
0.2880 0.3255 0.0410
0.3463 0.0785 0.9237
0.3463 0.4215 0.4237
0.3730 0.0634 0.1161
0.3730 0.4366 0.6161
0.4366 0.7271 0.6949
0.4366 0.7729 0.1949
0.5634 0.2271 0.8051
0.5634 0.2729 0.3051
0.6270 0.5634 0.3839
0.6270 0.9366 0.8839
0.6537 0.5785 0.5763
0.6537 0.9215 0.0763
0.7120 0.6745 0.9590
0.7120 0.8255 0.4590
0.7177 0.2463 0.4666
0.7177 0.2537 0.9666
0.7911 0.5020 0.0628
0.7911 0.9980 0.5628
0.9268 0.7060 0.1841
0.9268 0.7940 0.6841
0.0128 0.7277 0.7706
0.0128 0.7723 0.2706
0.3712 0.5389 0.1421
0.3712 0.9611 0.6421
0.6288 0.0389 0.3579
0.6288 0.4611 0.8579
0.9872 0.2277 0.7294
0.9872 0.2723 0.2294
0.2730 0.0526 0.5383
0.2730 0.4474 0.0383
0.3663 0.6977 0.1190
0.3663 0.8023 0.6190
0.6337 0.1977 0.3810
0.6337 0.3023 0.8810
0.7270 0.5526 0.9617
0.7270 0.9474 0.4617
0.0570 0.5898 0.7289
0.0570 0.9102 0.2289
0.0657 0.7083 0.4089
0.0657 0.7917 0.9089
0.2930 0.1012 0.0242
0.2930 0.3988 0.5242
0.4633 0.0248 0.7609
0.4633 0.4752 0.2609
0.5367 0.5248 0.7391
0.5367 0.9752 0.2391
0.7070 0.6012 0.4758
0.7070 0.8988 0.9758
0.9343 0.2083 0.0911
0.9343 0.2917 0.5911
0.9430 0.0898 0.7711
0.9430 0.4102 0.2711
```

Output
Its symmetry is No. 14. The density of states at the Fermi level is 1.1 states/eV/cell. Its energy relative to the lowest polymorph listed for this composition is 0.0 meV/atom.


| no. | total DFT energy (no corrections) (eV for the cell shown) |
| --- | --- |
| 1 | -288.87 |
| 2 | -170.51 |
| 3 | -366.38 |